Computed, not measured: a relaxed structure of Dy4Er4Sc3 at the GGA-PBE level of DFT. Values from VASP.

Values from the calculation:
DOS(E_F) = 2.006 states/eV/atom
Calculated total energy = -4.961 eV per atom
Total moment = 0.00 μB per cell
Symmetry = No. 2

Cell and atoms, written as Quantum ESPRESSO input:
```
&SYSTEM
  ibrav = 0, nat = 11, ntyp = 3
/
ATOMIC_SPECIES
Dy 162.50 Dy.upf
Er 167.26 Er.upf
Sc 44.96 Sc.upf
ATOMIC_POSITIONS crystal
Dy 0.454 0.454 0.091
Dy 0.679 0.178 0.643
Er 0.589 0.090 0.821
Er 0.732 0.732 0.536
Sc 0.000 0.000 0.000
Er 0.411 0.910 0.179
Sc 0.136 0.636 0.729
Er 0.268 0.268 0.464
Dy 0.321 0.822 0.357
Dy 0.546 0.546 0.909
Sc 0.864 0.364 0.271
CELL_PARAMETERS angstrom
-0.154 -0.521 -3.358
3.113 -4.435 0.545
-12.675 -12.164 0.745
```